Compound: MgNpGa2
Source: the Alexandria database
Functional: PBE-GGA
Structure: optimized geometry

The structure in POSCAR format:
```
MgNpGa2
1.0
-1.393 1.574 1.762
0.529 -1.786 2.013
7.806 4.615 2.045
Np Mg Ga
1 1 2
direct
0.500 0.500 0.000
0.500 0.500 0.500
0.000 0.000 0.742
0.000 0.000 0.258
```

Output
Formation enthalpy at 0 K: -0.001 eV per atom
Crystal system: tetragonal

---

Compound: CeTmHg2
Source: the Alexandria database
Functional: PBE-GGA
Structure: optimized geometry

The structure in POSCAR format:
```
CeTmHg2
1.0
-0.541 -0.872 3.517
1.428 -3.319 -0.603
7.131 2.745 1.777
Tm Hg Ce
1 2 1
direct
0.500 0.500 0.000
0.000 0.000 0.773
0.000 0.000 0.227
0.500 0.500 0.500
```

Output
Formation enthalpy at 0 K: -0.390 eV per atom
Relative energy among the computed polymorphs: 0 meV per atom
Crystal system: tetragonal

---

Compound: Er4Bi2TeAs
Source: the Alexandria database
Functional: PBE-GGA
Structure: optimized geometry

The structure in POSCAR format:
```
Er4Bi2TeAs
1.0
-1.414 1.121 -3.913
-5.662 -4.867 0.652
-2.148 6.661 2.684
Er Bi Te As
4 2 1 1
direct
0.500 0.232 0.233
0.500 0.768 0.767
0.000 0.239 0.759
0.000 0.761 0.241
0.500 0.000 0.500
0.000 0.500 0.500
0.500 0.500 0.000
0.000 0.000 0.000
```

Output
Uncorrected formation energy: -1.10 eV per atom
Crystal system: monoclinic